No. 1
! TmThPb3 PBE-GGA optimized geometry; values from VASP
&SYSTEM
  ibrav = 0, nat = 10, ntyp = 3
/
ATOMIC_SPECIES
Tm 168.93 Tm.upf
Th 232.04 Th.upf
Pb 207.20 Pb.upf
ATOMIC_POSITIONS crystal
Tm 0.0626 0.0626 0.1606
Tm 0.9374 0.9374 0.8394
Th 0.4088 0.4088 0.1595
Th 0.5912 0.5912 0.8405
Pb 0.2270 0.2270 0.1152
Pb 0.2998 0.2998 0.6319
Pb 0.4316 0.4316 0.5340
Pb 0.5684 0.5684 0.4660
Pb 0.7002 0.7002 0.3681
Pb 0.7730 0.7730 0.8848
CELL_PARAMETERS angstrom
10.3412 -1.7741 0.0000
10.3412 1.7741 0.0000
-3.3898 0.0000 8.9180
! DFT total energy = -0.1682 hartree per atom
! symmetry = No. 12
! energy of formation = 0.027 eV per atom
! magnetic moment = 0.00 μB per cell


No. 2
! SiAu PBE-GGA optimized geometry; values from VASP
&SYSTEM
  ibrav = 0, nat = 8, ntyp = 2
/
ATOMIC_SPECIES
Si 28.09 Si.upf
Au 196.97 Au.upf
ATOMIC_POSITIONS crystal
Si 0.1192 0.1192 0.0000
Si 0.3808 0.6192 0.5000
Si 0.6192 0.3808 0.5000
Si 0.8808 0.8808 0.0000
Au 0.2119 0.7881 0.0000
Au 0.2881 0.2881 0.5000
Au 0.7119 0.7119 0.5000
Au 0.7881 0.2119 0.0000
CELL_PARAMETERS angstrom
7.3314 0.0000 0.0000
0.0000 7.3314 0.0000
0.0000 0.0000 3.3682
! DFT total energy = -0.1550 hartree per atom
! formation energy without anion corrections = 0.26 eV/f.u.
! symmetry = No. 136
! magnetic moment = 0.00 μB per cell


No. 3
! CrMo2Ir PBE-GGA optimized geometry; values from VASP
&SYSTEM
  ibrav = 0, nat = 4, ntyp = 3
/
ATOMIC_SPECIES
Cr 52.00 Cr.upf
Mo 95.94 Mo.upf
Ir 192.22 Ir.upf
ATOMIC_POSITIONS crystal
Cr 0.0000 0.0000 0.0000
Mo 0.5000 0.5000 0.2474
Mo 0.5000 0.5000 0.7526
Ir 0.0000 0.0000 0.5000
CELL_PARAMETERS angstrom
2.7169 0.0000 0.0000
0.0000 2.7169 0.0000
0.0000 0.0000 7.9579
! DFT total energy = -0.3654 hartree per atom
! ΔE to the lowest computed polymorph = 76.5 meV per atom
! symmetry = No. 123
! energy of formation = 0.092 eV per atom
! magnetic moment = 0.70 μB per cell


No. 4
! BaNa2TlHg2 PBE-GGA optimized geometry; values from VASP
&SYSTEM
  ibrav = 0, nat = 6, ntyp = 4
/
ATOMIC_SPECIES
Ba 137.33 Ba.upf
Na 22.99 Na.upf
Tl 204.38 Tl.upf
Hg 200.59 Hg.upf
ATOMIC_POSITIONS crystal
Ba 0.0000 0.0000 0.0000
Na 0.3333 0.6667 0.6600
Na 0.6667 0.3333 0.3400
Tl 0.0000 0.0000 0.5000
Hg 0.3333 0.6667 0.2323
Hg 0.6667 0.3333 0.7677
CELL_PARAMETERS angstrom
5.3833 0.0000 0.0000
-2.6917 4.6621 0.0000
0.0000 0.0000 7.4380
! DFT total energy = -0.0568 hartree per atom
! symmetry = No. 164
! energy of formation = -0.290 eV per atom
! magnetic moment = 0.00 μB per cell